# NaTb2Nd3Se6

A geometry-optimized NaTb2Nd3Se6 structure (GGA-PBE, Alexandria).

Structure (POSCAR):
```
NaTb2Nd3Se6
1.0
3.601 -6.246 0.000
3.601 6.246 0.000
-2.413 0.000 6.876
Na Tb Nd Se
1 2 3 6
Direct
0.000 0.000 0.000 Na
0.334 0.666 0.000 Tb
0.666 0.334 0.000 Tb
0.163 0.837 0.500 Nd
0.500 0.500 0.500 Nd
0.837 0.163 0.500 Nd
0.080 0.415 0.241 Se
0.255 0.255 0.765 Se
0.415 0.080 0.241 Se
0.585 0.920 0.759 Se
0.745 0.745 0.235 Se
0.920 0.585 0.759 Se
```

Calculated total energy (eV/cell): -67.12
E_form (uncorrected) (eV per atom): -1.778



# Tb7Ag3

A geometry-optimized Tb7Ag3 structure (GGA-PBE, Alexandria).

Structure (POSCAR):
```
Tb7Ag3
1.0
10.150 0.000 0.000
-5.075 8.790 0.000
0.000 0.000 6.364
Tb Ag
14 6
Direct
0.066 0.533 0.000 Tb
0.126 0.253 0.275 Tb
0.126 0.874 0.275 Tb
0.253 0.126 0.775 Tb
0.333 0.667 0.436 Tb
0.467 0.533 0.000 Tb
0.467 0.934 0.000 Tb
0.533 0.066 0.500 Tb
0.533 0.467 0.500 Tb
0.667 0.333 0.936 Tb
0.747 0.874 0.275 Tb
0.874 0.126 0.775 Tb
0.874 0.747 0.775 Tb
0.934 0.467 0.500 Tb
0.195 0.390 0.720 Ag
0.195 0.805 0.720 Ag
0.390 0.195 0.220 Ag
0.610 0.805 0.720 Ag
0.805 0.195 0.220 Ag
0.805 0.610 0.220 Ag
```

Energy of formation from the pure elements (eV/atom): -0.120
Calculated total energy (eV/cell): -84.34



# PmSm5Pt4

A geometry-optimized PmSm5Pt4 structure (GGA-PBE, Alexandria).

Structure (POSCAR):
```
PmSm5Pt4
1.0
-2.115 3.918 8.704
2.115 -3.918 8.704
2.115 3.918 -8.704
Pm Sm Pt
1 5 4
Direct
0.000 0.000 0.000 Pm
0.079 0.336 0.743 Sm
0.408 0.664 0.743 Sm
0.500 0.000 0.500 Sm
0.592 0.336 0.257 Sm
0.921 0.664 0.257 Sm
0.206 0.206 0.000 Pt
0.255 0.500 0.755 Pt
0.745 0.500 0.245 Pt
0.794 0.794 0.000 Pt
```

Energy of formation from the pure elements (eV/atom): -0.913
Calculated total energy (eV/cell): -61.64



# Pr4Tm3In4

A geometry-optimized Pr4Tm3In4 structure (GGA-PBE, Alexandria).

Structure (POSCAR):
```
Pr4Tm3In4
1.0
-1.793 4.737 9.792
1.793 -4.737 9.792
1.793 4.737 -9.792
Pr Tm In
4 3 4
Direct
0.012 0.839 0.173 Pr
0.335 0.161 0.173 Pr
0.665 0.839 0.827 Pr
0.988 0.161 0.827 Pr
0.000 0.500 0.500 Tm
0.408 0.408 0.000 Tm
0.592 0.592 0.000 Tm
0.278 0.778 0.500 In
0.281 0.000 0.281 In
0.719 0.000 0.719 In
0.722 0.222 0.500 In
```

Energy of formation from the pure elements (eV/atom): -0.306
Calculated total energy (eV/cell): -46.85



calculated total energy of number 4 (Pr4Tm3In4)? -46.85 eV/cell



What is the formula in the fourth record? Pr4Tm3In4